4
Lattice="-1.1815 -2.6096 1.3589 0.9632 -1.7267 -2.4785 4.1721 -0.7665 2.1554" Properties=species:S:1:pos:R:3 comment="Be2AlP (PBE, relaxed)" relative_energy_mev_per_atom=100.2 spacegroup=P4mm pbc="T T T"
P 1.9879 -0.3652 1.0270
Al 3.0284 -2.7446 1.0611
Be 0.0985 -0.0181 0.0509
Be 0.9251 -2.3582 -0.0255

8
Lattice="-5.3560 -4.0159 -1.3542 1.1575 -5.4167 -4.0838 1.8498 -5.9951 2.6779" Properties=species:S:1:pos:R:3 comment="Ho6TlGa (PBE, relaxed)" spacegroup=C2/m pbc="T T T"
Ho -2.3310 -9.1302 -1.3508
Ho -3.1533 -5.7922 -0.2131
Ho 0.8046 -9.6354 -2.5470
Ho -0.0177 -6.2974 -1.4093
Ho -3.1056 -6.9711 -4.0182
Ho -1.0929 -2.4615 -1.4198
Tl 0.0000 0.0000 0.0000
Ga -2.0993 -4.7163 -2.7190

11
Lattice="7.9559 0.0000 4.0282 -1.1607 7.0509 2.2925 1.2195 -0.5193 7.4621" Properties=species:S:1:pos:R:3 comment="Ge2SbCl8 (PBE, relaxed)" e_form_raw_ev_per_fu=-7.590 relative_energy_mev_per_atom=18.7 spacegroup=C2/m pbc="T T T"
Ge 6.7941 2.6131 6.3230
Ge 1.2207 3.9186 7.4599
Sb 0.0000 0.0000 0.0000
Cl 7.1218 5.2576 11.5564
Cl 5.6329 1.2740 4.6264
Cl 6.1228 4.8733 7.6489
Cl 1.8920 1.6584 6.1340
Cl 2.3819 5.2576 9.1566
Cl 0.8930 1.2740 2.2265
Cl 5.9225 1.5550 8.0444
Cl 2.0923 4.9766 5.7385

12
Lattice="-2.0540 -2.0501 -4.5709 -4.2405 -2.6238 3.0823 -2.2878 5.2764 -1.3385" Properties=species:S:1:pos:R:3 comment="AcNbO4 (PBE, relaxed)" e_form_raw_ev_per_fu=-17.570 relative_energy_mev_per_atom=165.5 spacegroup=P2_1/c pbc="T T T"
Ac -3.2642 1.3263 0.8719
Ac -2.1709 1.6131 -2.9547
Nb -3.1472 -2.3370 -0.7443
Nb 0.0000 0.0000 0.0000
O -4.0708 -2.0170 1.0812
O -1.9189 -0.6735 -0.3896
O -4.5396 -1.1637 -1.4596
O -5.6579 0.9584 1.2978
O -2.9244 -0.3559 -4.1248
O -4.0427 1.7662 -1.3674
O -6.6634 1.2760 -2.4374
O -4.5115 2.6194 -3.9082

For each record above, in turn, the calculated total energy values are -15.6, -32.6, -35.7, -103.2 eV/cell.